(1)
{"formula": "Li2ScCl", "functional": "PBE", "state": "optimized geometry", "lattice": [[3.457, 0.000, 0.000], [0.000, 5.609, 0.000], [0.000, 0.000, 8.724]], "species": ["Li", "Li", "Li", "Li", "Sc", "Sc", "Cl", "Cl"], "fractional_positions": [[0.000, 0.000, 0.000], [0.000, 0.500, 0.280], [0.500, 0.000, 0.280], [0.500, 0.500, 0.000], [0.000, 0.500, 0.718], [0.500, 0.000, 0.718], [0.000, 0.000, 0.479], [0.500, 0.500, 0.479]], "dos_at_fermi_per_ev_cell": 5.524, "formation_energy_uncorrected_ev_per_fu": -2.154, "dft_energy_ev_per_atom": -3.5398, "magmom_total_mub_per_fu": 0.0}

(2)
{"formula": "LaMn4Se8", "functional": "PBE", "state": "optimized geometry", "lattice": [[3.691, 2.131, 7.024], [-3.691, 2.131, 7.024], [0.000, -4.261, 7.024]], "species": ["La", "Mn", "Mn", "Mn", "Mn", "Se", "Se", "Se", "Se", "Se", "Se", "Se", "Se"], "fractional_positions": [[0.000, 0.000, 0.000], [0.000, 0.000, 0.500], [0.000, 0.500, 0.000], [0.500, 0.000, 0.000], [0.500, 0.500, 0.500], [0.230, 0.735, 0.735], [0.232, 0.232, 0.232], [0.265, 0.265, 0.770], [0.265, 0.770, 0.265], [0.735, 0.230, 0.735], [0.735, 0.735, 0.230], [0.768, 0.768, 0.768], [0.770, 0.265, 0.265]], "dos_at_fermi_per_ev_cell": 6.303, "formation_energy_uncorrected_ev_per_fu": -9.148, "dft_energy_ev_per_atom": -6.0484, "magmom_total_mub_per_fu": 5.0}

(3)
{"formula": "NiWI3", "functional": "PBE", "state": "optimized geometry", "lattice": [[5.239, 0.000, 0.000], [0.000, 5.239, 0.000], [0.000, 0.000, 5.239]], "species": ["Ni", "W", "I", "I", "I"], "fractional_positions": [[0.000, 0.000, 0.000], [0.500, 0.500, 0.500], [0.000, 0.000, 0.500], [0.000, 0.500, 0.000], [0.500, 0.000, 0.000]], "dos_at_fermi_per_ev_cell": 4.614, "formation_energy_uncorrected_ev_per_fu": 6.334, "dft_energy_ev_per_atom": -3.4102, "magmom_total_mub_per_fu": 4.3}

(4)
{"formula": "Bi2Se3", "functional": "PBE", "state": "optimized geometry", "lattice": [[8.927, 0.000, 0.000], [0.000, 7.787, 0.000], [-2.013, 0.000, 9.119]], "species": ["Bi", "Bi", "Bi", "Bi", "Bi", "Bi", "Bi", "Bi", "Se", "Se", "Se", "Se", "Se", "Se", "Se", "Se", "Se", "Se", "Se", "Se"], "fractional_positions": [[0.164, 0.118, 0.425], [0.164, 0.382, 0.925], [0.283, 0.024, 0.852], [0.283, 0.476, 0.352], [0.717, 0.524, 0.648], [0.717, 0.976, 0.148], [0.836, 0.618, 0.075], [0.836, 0.882, 0.575], [0.010, 0.676, 0.343], [0.010, 0.824, 0.843], [0.386, 0.674, 0.602], [0.386, 0.826, 0.102], [0.414, 0.570, 0.855], [0.414, 0.930, 0.355], [0.586, 0.070, 0.645], [0.586, 0.430, 0.145], [0.614, 0.174, 0.898], [0.614, 0.326, 0.398], [0.990, 0.176, 0.157], [0.990, 0.324, 0.657]], "dos_at_fermi_per_ev_cell": 0.000, "formation_energy_uncorrected_ev_per_fu": -0.421, "dft_energy_ev_per_atom": -3.7272, "magmom_total_mub_per_fu": 0.0}

(5)
{"formula": "TlAg2I3", "functional": "PBE", "state": "optimized geometry", "lattice": [[5.387, -7.355, 0.000], [5.387, 7.355, 0.000], [0.000, 0.000, 5.852]], "species": ["Tl", "Tl", "Ag", "Ag", "Ag", "Ag", "I", "I", "I", "I", "I", "I"], "fractional_positions": [[0.239, 0.761, 0.750], [0.761, 0.239, 0.250], [0.308, 0.308, 0.000], [0.308, 0.308, 0.500], [0.692, 0.692, 0.000], [0.692, 0.692, 0.500], [0.055, 0.341, 0.750], [0.341, 0.055, 0.250], [0.389, 0.611, 0.250], [0.611, 0.389, 0.750], [0.659, 0.945, 0.750], [0.945, 0.659, 0.250]], "dos_at_fermi_per_ev_cell": 0.000, "formation_energy_uncorrected_ev_per_fu": -2.149, "dft_energy_ev_per_atom": -2.4780, "magmom_total_mub_per_fu": 0.0}

(6)
{"formula": "LaAlNi2", "functional": "PBE", "state": "optimized geometry", "lattice": [[6.602, 0.000, 0.000], [0.000, 6.602, 0.000], [0.000, 0.000, 6.602]], "species": ["La", "La", "La", "La", "Al", "Al", "Al", "Al", "Ni", "Ni", "Ni", "Ni", "Ni", "Ni", "Ni", "Ni"], "fractional_positions": [[0.000, 0.000, 0.000], [0.000, 0.500, 0.500], [0.500, 0.000, 0.500], [0.500, 0.500, 0.000], [0.250, 0.250, 0.250], [0.250, 0.750, 0.750], [0.750, 0.250, 0.750], [0.750, 0.750, 0.250], [0.000, 0.000, 0.500], [0.000, 0.500, 0.000], [0.250, 0.250, 0.750], [0.250, 0.750, 0.250], [0.500, 0.000, 0.000], [0.500, 0.500, 0.500], [0.750, 0.250, 0.250], [0.750, 0.750, 0.750]], "dos_at_fermi_per_ev_cell": 17.719, "formation_energy_ev_per_atom": 0.052, "dft_energy_ev_per_atom": -5.0059, "magmom_total_mub_per_fu": 0.0}

(7)
{"formula": "Ru2RhCl", "functional": "PBE", "state": "optimized geometry", "lattice": [[2.817, 0.000, 0.000], [0.000, 2.817, 0.000], [0.000, 0.000, 7.490]], "species": ["Ru", "Ru", "Rh", "Cl"], "fractional_positions": [[0.000, 0.000, 0.000], [0.500, 0.500, 0.227], [0.500, 0.500, 0.751], [0.000, 0.000, 0.472]], "dos_at_fermi_per_ev_cell": 5.339, "formation_energy_uncorrected_ev_per_fu": 1.565, "dft_energy_ev_per_atom": -6.5461, "magmom_total_mub_per_fu": 0.0}

(8)
{"formula": "Sc2Ni17", "functional": "PBE", "state": "optimized geometry", "lattice": [[4.082, 2.357, 3.997], [-4.082, 2.357, 3.997], [0.000, -4.714, 3.997]], "species": ["Sc", "Sc", "Ni", "Ni", "Ni", "Ni", "Ni", "Ni", "Ni", "Ni", "Ni", "Ni", "Ni", "Ni", "Ni", "Ni", "Ni", "Ni", "Ni"], "fractional_positions": [[0.162, 0.162, 0.162], [0.838, 0.838, 0.838], [0.000, 0.500, 0.500], [0.152, 0.152, 0.657], [0.152, 0.657, 0.152], [0.200, 0.500, 0.800], [0.200, 0.800, 0.500], [0.343, 0.848, 0.848], [0.400, 0.400, 0.400], [0.500, 0.000, 0.500], [0.500, 0.200, 0.800], [0.500, 0.500, 0.000], [0.500, 0.800, 0.200], [0.600, 0.600, 0.600], [0.657, 0.152, 0.152], [0.800, 0.200, 0.500], [0.800, 0.500, 0.200], [0.848, 0.343, 0.848], [0.848, 0.848, 0.343]], "dos_at_fermi_per_ev_cell": 26.899, "formation_energy_ev_per_atom": -0.159, "dft_energy_ev_per_atom": -5.9978, "magmom_total_mub_per_fu": 7.2}

(9)
{"formula": "BaOsRu", "functional": "PBE", "state": "optimized geometry", "lattice": [[4.168, 0.000, 0.000], [-2.084, 3.610, 0.000], [0.000, 0.000, 10.644]], "species": ["Ba", "Ba", "Os", "Os", "Ru", "Ru"], "fractional_positions": [[0.000, 0.000, 0.000], [0.000, 0.000, 0.500], [0.333, 0.667, 0.250], [0.667, 0.333, 0.750], [0.333, 0.667, 0.750], [0.667, 0.333, 0.250]], "dos_at_fermi_per_ev_cell": 5.730, "formation_energy_ev_per_atom": 0.458, "dft_energy_ev_per_atom": -7.0184, "magmom_total_mub_per_fu": 0.0}

(10)
{"formula": "CeErN", "functional": "PBE", "state": "optimized geometry", "lattice": [[3.447, 0.000, 0.000], [-1.724, 2.986, 0.000], [0.000, 0.000, 6.245]], "species": ["Ce", "Er", "N"], "fractional_positions": [[0.000, 0.000, 0.000], [0.667, 0.333, 0.560], [0.333, 0.667, 0.761]], "dos_at_fermi_per_ev_cell": 5.401, "formation_energy_uncorrected_ev_per_fu": -2.905, "dft_energy_ev_per_atom": -7.2424, "magmom_total_mub_per_fu": 0.8}

(11)
{"formula": "SrHgCl2", "functional": "PBE", "state": "optimized geometry", "lattice": [[7.580, 0.000, 0.000], [0.000, 7.580, 0.000], [0.000, 0.000, 7.580]], "species": ["Sr", "Sr", "Sr", "Sr", "Hg", "Hg", "Hg", "Hg", "Cl", "Cl", "Cl", "Cl", "Cl", "Cl", "Cl", "Cl"], "fractional_positions": [[0.000, 0.000, 0.000], [0.000, 0.500, 0.500], [0.500, 0.000, 0.500], [0.500, 0.500, 0.000], [0.250, 0.250, 0.250], [0.250, 0.750, 0.750], [0.750, 0.250, 0.750], [0.750, 0.750, 0.250], [0.000, 0.000, 0.500], [0.000, 0.500, 0.000], [0.250, 0.250, 0.750], [0.250, 0.750, 0.250], [0.500, 0.000, 0.000], [0.500, 0.500, 0.500], [0.750, 0.250, 0.250], [0.750, 0.750, 0.750]], "dos_at_fermi_per_ev_cell": 0.000, "formation_energy_uncorrected_ev_per_fu": -5.389, "dft_energy_ev_per_atom": -2.7664, "magmom_total_mub_per_fu": 0.0}

(12)
{"formula": "Sb2PbW", "functional": "PBE", "state": "optimized geometry", "lattice": [[3.530, 0.000, 0.000], [0.000, 5.053, 0.000], [0.000, 0.000, 5.253]], "species": ["Sb", "Sb", "Pb", "W"], "fractional_positions": [[0.000, 0.000, 0.000], [0.500, 0.000, 0.500], [0.000, 0.500, 0.500], [0.500, 0.500, 0.000]], "dos_at_fermi_per_ev_cell": 4.402, "formation_energy_uncorrected_ev_per_fu": 3.898, "dft_energy_ev_per_atom": -5.2520, "magmom_total_mub_per_fu": 0.0}

(13)
{"formula": "Na2TbDyO4", "functional": "PBE", "state": "optimized geometry", "lattice": [[5.929, 0.000, 0.000], [0.000, 3.440, 0.000], [-1.995, 0.000, 5.614]], "species": ["Na", "Na", "Tb", "Dy", "O", "O", "O", "O"], "fractional_positions": [[0.000, 0.000, 0.000], [0.000, 0.500, 0.500], [0.500, 0.000, 0.500], [0.500, 0.500, 0.000], [0.288, 0.500, 0.262], [0.289, 0.000, 0.764], [0.711, 0.000, 0.236], [0.712, 0.500, 0.738]], "dos_at_fermi_per_ev_cell": 0.000, "formation_energy_uncorrected_ev_per_fu": -22.311, "dft_energy_ev_per_atom": -6.7517, "magmom_total_mub_per_fu": 0.0}

(14)
{"formula": "PrZnNiPd", "functional": "PBE", "state": "optimized geometry", "lattice": [[7.450, 0.000, 0.000], [0.000, 4.309, 0.000], [-2.495, 0.000, 4.825]], "species": ["Pr", "Pr", "Zn", "Zn", "Ni", "Ni", "Pd", "Pd"], "fractional_positions": [[0.000, 0.000, 0.000], [0.500, 0.500, 0.000], [0.490, 0.000, 0.469], [0.990, 0.500, 0.469], [0.297, 0.500, 0.388], [0.797, 0.000, 0.388], [0.207, 0.000, 0.621], [0.707, 0.500, 0.621]], "dos_at_fermi_per_ev_cell": 4.845, "formation_energy_ev_per_atom": -0.507, "dft_energy_ev_per_atom": -4.7635, "magmom_total_mub_per_fu": 0.0}

(15)
{"formula": "PrHo2Ti", "functional": "PBE", "state": "optimized geometry", "lattice": [[3.401, 0.000, 0.000], [0.000, 3.401, 0.000], [0.000, 0.000, 9.850]], "species": ["Pr", "Ho", "Ho", "Ti"], "fractional_positions": [[0.000, 0.000, 0.000], [0.500, 0.500, 0.291], [0.500, 0.500, 0.709], [0.000, 0.000, 0.500]], "dos_at_fermi_per_ev_cell": 5.974, "formation_energy_ev_per_atom": 0.156, "dft_energy_ev_per_atom": -5.3018, "magmom_total_mub_per_fu": 0.0}

(16)
{"formula": "Si2NiW", "functional": "PBE", "state": "optimized geometry", "lattice": [[5.929, 0.000, 0.000], [0.000, 5.929, 0.000], [0.000, 0.000, 5.929]], "species": ["Si", "Si", "Si", "Si", "Si", "Si", "Si", "Si", "Ni", "Ni", "Ni", "Ni", "W", "W", "W", "W"], "fractional_positions": [[0.250, 0.250, 0.250], [0.250, 0.250, 0.750], [0.250, 0.750, 0.250], [0.250, 0.750, 0.750], [0.750, 0.250, 0.250], [0.750, 0.250, 0.750], [0.750, 0.750, 0.250], [0.750, 0.750, 0.750], [0.000, 0.000, 0.000], [0.000, 0.500, 0.500], [0.500, 0.000, 0.500], [0.500, 0.500, 0.000], [0.000, 0.000, 0.500], [0.000, 0.500, 0.000], [0.500, 0.000, 0.000], [0.500, 0.500, 0.500]], "dos_at_fermi_per_ev_cell": 4.383, "formation_energy_uncorrected_ev_per_fu": -0.011, "dft_energy_ev_per_atom": -7.3979, "magmom_total_mub_per_fu": 0.0}

(17)
{"formula": "Dy4MgCu2", "functional": "PBE", "state": "optimized geometry", "lattice": [[2.478, 1.431, 8.587], [-2.478, 1.431, 8.587], [0.000, -2.861, 8.587]], "species": ["Dy", "Dy", "Dy", "Dy", "Mg", "Cu", "Cu"], "fractional_positions": [[0.115, 0.115, 0.115], [0.293, 0.293, 0.293], [0.707, 0.707, 0.707], [0.885, 0.885, 0.885], [0.500, 0.500, 0.500], [0.402, 0.402, 0.402], [0.598, 0.598, 0.598]], "dos_at_fermi_per_ev_cell": 7.489, "formation_energy_ev_per_atom": 0.053, "dft_energy_ev_per_atom": -3.9753, "magmom_total_mub_per_fu": 0.0}

(18)
{"formula": "CaHoIn", "functional": "PBE", "state": "optimized geometry", "lattice": [[3.509, 0.000, 0.000], [0.000, 3.509, 0.000], [0.000, 0.000, 30.224]], "species": ["Ca", "Ca", "Ca", "Ca", "Ho", "Ho", "Ho", "Ho", "In", "In", "In", "In"], "fractional_positions": [[0.000, 0.000, 0.062], [0.000, 0.000, 0.938], [0.500, 0.500, 0.438], [0.500, 0.500, 0.562], [0.000, 0.000, 0.208], [0.000, 0.000, 0.792], [0.500, 0.500, 0.292], [0.500, 0.500, 0.708], [0.000, 0.000, 0.365], [0.000, 0.000, 0.635], [0.500, 0.500, 0.135], [0.500, 0.500, 0.865]], "dos_at_fermi_per_ev_cell": 9.418, "formation_energy_ev_per_atom": -0.254, "dft_energy_ev_per_atom": -3.3599, "magmom_total_mub_per_fu": 0.0}

(19)
{"formula": "SmHoTmIn", "functional": "PBE", "state": "optimized geometry", "lattice": [[7.712, 0.000, 0.000], [0.000, 7.712, 0.000], [0.000, 0.000, 7.712]], "species": ["Sm", "Sm", "Sm", "Sm", "Ho", "Ho", "Ho", "Ho", "Tm", "Tm", "Tm", "Tm", "In", "In", "In", "In"], "fractional_positions": [[0.000, 0.000, 0.000], [0.000, 0.500, 0.500], [0.500, 0.000, 0.500], [0.500, 0.500, 0.000], [0.250, 0.250, 0.750], [0.250, 0.750, 0.250], [0.750, 0.250, 0.250], [0.750, 0.750, 0.750], [0.000, 0.000, 0.500], [0.000, 0.500, 0.000], [0.500, 0.000, 0.000], [0.500, 0.500, 0.500], [0.250, 0.250, 0.250], [0.250, 0.750, 0.750], [0.750, 0.250, 0.750], [0.750, 0.750, 0.250]], "dos_at_fermi_per_ev_cell": 26.141, "formation_energy_ev_per_atom": -0.123, "dft_energy_ev_per_atom": -4.2496, "magmom_total_mub_per_fu": 0.8}

(20)
{"formula": "La3Ir", "functional": "PBE", "state": "optimized geometry", "lattice": [[6.525, 0.000, 0.000], [-3.262, 5.651, 0.000], [0.000, 0.000, 11.837]], "species": ["La", "La", "La", "La", "La", "La", "La", "La", "La", "La", "La", "La", "Ir", "Ir", "Ir", "Ir"], "fractional_positions": [[0.000, 0.500, 0.000], [0.000, 0.500, 0.500], [0.156, 0.312, 0.250], [0.156, 0.844, 0.250], [0.312, 0.156, 0.750], [0.500, 0.000, 0.000], [0.500, 0.000, 0.500], [0.500, 0.500, 0.000], [0.500, 0.500, 0.500], [0.688, 0.844, 0.250], [0.844, 0.156, 0.750], [0.844, 0.688, 0.750], [0.000, 0.000, 0.000], [0.000, 0.000, 0.500], [0.333, 0.667, 0.750], [0.667, 0.333, 0.250]], "dos_at_fermi_per_ev_cell": 19.122, "formation_energy_ev_per_atom": -0.099, "dft_energy_ev_per_atom": -6.0095, "magmom_total_mub_per_fu": 0.0}